Entry 1:
HoScMnOs | PBE-GGA | relaxed

Its energy of formation from the pure elements is -0.35 eV/f.u. The value obtained for the total magnetic moment is 0.8664 μB per atom. The value obtained for the final energy is -7.914 eV per atom.

It has space group F-43m (No. 216), with a = 6.715 Å, b = 6.715 Å, c = 6.715 Å, α = 90.00°, β = 90.00° and γ = 90.00°. The inequivalent atoms are Ho at (0.000, 0.000, 0.000), Sc at (0.000, 0.000, 0.500), Mn at (0.250, 0.250, 0.750) and Os at (0.250, 0.250, 0.250).

***

Entry 2:
AlCoPd2Cl | PBE-GGA | relaxed

Its raw formation energy is 51.6 kJ per mole of atoms. The value obtained for the total magnetic moment is 0.4357 μB per atom. The value obtained for the final energy is -4.081 eV per atom.

It has space group P4/mmm (No. 123), with a = 4.645 Å, b = 4.645 Å, c = 4.621 Å, α = 90.00°, β = 90.00° and γ = 90.00°. The inequivalent atoms are Al at (0.000, 0.000, 0.000), Co at (0.000, 0.000, 0.500), Pd at (0.000, 0.500, 0.500) and Cl at (0.500, 0.500, 0.000).